1.
The following is a PBE calculation of a relaxed PmHo2Th crystal, from the Alexandria database.

- calculated volume (Å³ per cell) = 128.12
- energy of formation (eV per atom) = 0.040
- symmetry = No. 123
- ρ (g/cm³) = 9.162
- excess energy over the best structure of this formula in the dataset (eV/atom) = 0.0443

Cell: 5.0685 5.0685 4.9872 Å, 90.00 90.00 90.00°
Atoms (fractional coordinates):
Pm 0.0000 0.0000 0.0000
Ho 0.0000 0.5000 0.5000
Ho 0.5000 0.0000 0.5000
Th 0.5000 0.5000 0.0000

=====

2.
The following is a PBE calculation of a relaxed Pm4Ho5Th2 crystal, from the Alexandria database.

- calculated volume (Å³ per cell) = 374.57
- energy of formation (eV per atom) = 0.239
- symmetry = No. 71
- ρ (g/cm³) = 8.284
- excess energy over the best structure of this formula in the dataset (eV/atom) = 0.2136

Cell: 12.4456 12.4456 12.4456 Å, 163.71 136.07 47.16°
Atoms (fractional coordinates):
Pm 0.2052 0.5000 0.7052
Pm 0.2298 0.2298 0.0000
Pm 0.7702 0.7702 0.0000
Pm 0.7948 0.5000 0.2948
Ho 0.1542 0.3551 0.7991
Ho 0.4439 0.6449 0.7991
Ho 0.5000 0.0000 0.5000
Ho 0.5561 0.3551 0.2009
Ho 0.8458 0.6449 0.2009
Th 0.0925 0.0925 0.0000
Th 0.9075 0.9075 0.0000

=====

3.
The following is a PBE calculation of a relaxed PmHo12Th7 crystal, from the Alexandria database.

- calculated volume (Å³ per cell) = 654.01
- energy of formation (eV per atom) = 0.274
- symmetry = No. 148
- ρ (g/cm³) = 9.517

Cell: 8.6961 8.6961 8.6961 Å, 86.47 86.47 86.47°
Atoms (fractional coordinates):
Pm 0.0000 0.0000 0.0000
Ho 0.1330 0.4960 0.6225
Ho 0.1426 0.7417 0.2777
Ho 0.2583 0.7223 0.8574
Ho 0.2777 0.1426 0.7417
Ho 0.3775 0.8670 0.5040
Ho 0.4960 0.6225 0.1330
Ho 0.5040 0.3775 0.8670
Ho 0.6225 0.1330 0.4960
Ho 0.7223 0.8574 0.2583
Ho 0.7417 0.2777 0.1426
Ho 0.8574 0.2583 0.7223
Ho 0.8670 0.5040 0.3775
Th 0.0799 0.1548 0.3938
Th 0.1548 0.3938 0.0799
Th 0.3938 0.0799 0.1548
Th 0.5000 0.5000 0.5000
Th 0.6062 0.9201 0.8452
Th 0.8452 0.6062 0.9201
Th 0.9201 0.8452 0.6062

=====

4.
The following is a PBE calculation of a relaxed Pm3Ho4Th2 crystal, from the Alexandria database.

- calculated volume (Å³ per cell) = 585.36
- energy of formation (eV per atom) = 0.051
- symmetry = No. 2
- ρ (g/cm³) = 8.844
- excess energy over the best structure of this formula in the dataset (eV/atom) = 0.0148

Cell: 7.0829 8.4607 10.3406 Å, 98.69 100.22 101.87°
Atoms (fractional coordinates):
Pm 0.0272 0.1667 0.4480
Pm 0.1452 0.8300 0.2380
Pm 0.2565 0.4995 0.0043
Pm 0.7435 0.5005 0.9957
Pm 0.8548 0.1700 0.7620
Pm 0.9728 0.8333 0.5520
Ho 0.0595 0.8407 0.8907
Ho 0.1778 0.5293 0.6629
Ho 0.3635 0.1683 0.7637
Ho 0.4755 0.8339 0.5565
Ho 0.5245 0.1661 0.4435
Ho 0.6365 0.8317 0.2363
Ho 0.8222 0.4707 0.3371
Ho 0.9405 0.1593 0.1093
Th 0.3273 0.4749 0.3412
Th 0.4400 0.1555 0.1081
Th 0.5600 0.8445 0.8919
Th 0.6727 0.5251 0.6588

=====

5.
The following is a PBE calculation of a relaxed PmHoTh crystal, from the Alexandria database.

- calculated volume (Å³ per cell) = 97.92
- energy of formation (eV per atom) = 0.030
- symmetry = No. 107
- ρ (g/cm³) = 9.190
- excess energy over the best structure of this formula in the dataset (eV/atom) = 0.0051

Cell: 7.9699 7.9699 7.9699 Å, 153.89 153.89 37.26°
Atoms (fractional coordinates):
Pm 0.0000 0.0000 0.0000
Ho 0.6799 0.6799 0.0000
Th 0.3373 0.3373 0.0000

=====

6.
The following is a PBE calculation of a relaxed PmHo7Th2 crystal, from the Alexandria database.

- calculated volume (Å³ per cell) = 316.46
- energy of formation (eV per atom) = 0.032
- symmetry = No. 2
- ρ (g/cm³) = 9.254
- excess energy over the best structure of this formula in the dataset (eV/atom) = 0.0000

Cell: 6.1284 7.0750 7.9816 Å, 76.96 74.89 73.80°
Atoms (fractional coordinates):
Pm 0.0000 0.0000 0.0000
Ho 0.0000 0.5000 0.0000
Ho 0.1978 0.2984 0.5985
Ho 0.3961 0.0995 0.2059
Ho 0.4034 0.5988 0.2031
Ho 0.5966 0.4012 0.7969
Ho 0.6039 0.9005 0.7941
Ho 0.8022 0.7016 0.4015
Th 0.1978 0.8003 0.5982
Th 0.8022 0.1997 0.4018

=====

7.
The following is a PBE calculation of a relaxed Pm6Ho4Th crystal, from the Alexandria database.

- calculated volume (Å³ per cell) = 731.30
- energy of formation (eV per atom) = 0.143
- symmetry = No. 63
- ρ (g/cm³) = 8.001

Cell: 5.6557 5.6557 25.8105 Å, 90.00 90.00 117.65°
Atoms (fractional coordinates):
Pm 0.0000 0.0000 0.0000
Pm 0.0000 0.0000 0.5000
Pm 0.0550 0.9450 0.7500
Pm 0.2960 0.7040 0.1004
Pm 0.2960 0.7040 0.3996
Pm 0.3826 0.6174 0.6814
Pm 0.3826 0.6174 0.8186
Pm 0.6174 0.3826 0.1814
Pm 0.6174 0.3826 0.3186
Pm 0.7040 0.2960 0.6004
Pm 0.7040 0.2960 0.8996
Pm 0.9450 0.0550 0.2500
Ho 0.0491 0.9509 0.6234
Ho 0.0491 0.9509 0.8766
Ho 0.3500 0.6500 0.5425
Ho 0.3500 0.6500 0.9575
Ho 0.6500 0.3500 0.0425
Ho 0.6500 0.3500 0.4575
Ho 0.9509 0.0491 0.1234
Ho 0.9509 0.0491 0.3766
Th 0.2856 0.7144 0.2500
Th 0.7144 0.2856 0.7500

=====

8.
The following is a PBE calculation of a relaxed PmHoTh2 crystal, from the Alexandria database.

- calculated volume (Å³ per cell) = 274.64
- energy of formation (eV per atom) = 0.266
- symmetry = No. 15
- ρ (g/cm³) = 9.360
- excess energy over the best structure of this formula in the dataset (eV/atom) = 0.2370

Cell: 9.9028 9.9028 3.5419 Å, 94.01 94.01 126.82°
Atoms (fractional coordinates):
Pm 0.0000 0.5000 0.0000
Pm 0.5000 0.0000 0.5000
Ho 0.0857 0.9143 0.2500
Ho 0.9143 0.0857 0.7500
Th 0.2553 0.4214 0.4547
Th 0.4214 0.2553 0.9547
Th 0.5786 0.7447 0.0453
Th 0.7447 0.5786 0.5453